A plane-wave DFT calculation with PBE-GGA was carried out for Mg7BiPd4 after structural relaxation.

Geometry as POSCAR:
```
Mg7BiPd4
1.0
-4.937 0.452 -1.184
-1.774 -5.296 -5.597
-3.847 -4.800 3.239
Mg Bi Pd
7 1 4
Cartesian
-7.559 -6.976 -4.055
-2.999 -2.669 0.514
-2.390 -4.454 -2.706
-8.168 -5.190 -0.836
-5.530 -6.859 -1.502
-2.468 0.226 -0.592
-5.028 -2.785 -2.039
0.000 0.000 0.000
-5.663 -4.094 0.110
-4.895 -5.551 -3.651
-8.263 -7.713 -1.400
-2.294 -1.932 -2.142
```

Output
VASP energy, Ry per atom: -0.24173
V, Å³ per atom: 20.3


A plane-wave DFT calculation with PBE-GGA was carried out for MgBiPd6 after structural relaxation.

Geometry as POSCAR:
```
MgBiPd6
1.0
4.731 0.664 0.035
1.017 4.668 0.035
1.678 1.557 7.003
Mg Bi Pd
1 1 6
Cartesian
0.000 0.000 0.000
3.714 3.444 3.537
1.338 3.038 2.071
3.130 1.106 2.071
4.298 5.783 5.003
6.089 3.851 5.003
3.631 3.367 6.577
3.797 3.521 0.497
```

Output
E above lowest polymorph, kJ/mol of formula units: 168
V, Å³ per atom: 18.7


A plane-wave DFT calculation with PBE-GGA was carried out for Mg8Bi3Pd2 after structural relaxation.

Geometry as POSCAR:
```
Mg8Bi3Pd2
1.0
4.656 0.000 0.000
0.000 7.906 -4.317
0.000 -0.329 8.797
Mg Bi Pd
8 3 2
Cartesian
0.000 5.160 0.053
4.656 2.417 4.427
0.000 1.028 1.882
0.000 6.550 2.598
2.328 4.367 3.646
2.328 0.705 5.645
2.328 6.872 -1.165
2.328 3.211 0.834
2.328 0.000 0.000
0.000 2.327 -1.271
0.000 5.579 -3.046
2.328 1.710 3.132
2.328 5.868 1.348
```

Output
VASP energy, Ry per atom: -0.21699
V, Å³ per atom: 24.4


A plane-wave DFT calculation with PBE-GGA was carried out for Mg6BiPd12 after structural relaxation.

Geometry as POSCAR:
```
Mg6BiPd12
1.0
7.145 -0.301 -0.361
-1.381 7.017 -0.361
-1.381 -1.609 6.839
Mg Bi Pd
6 1 12
Cartesian
4.038 4.711 3.162
2.752 0.771 0.917
0.339 2.836 0.922
0.345 0.396 2.955
1.631 4.336 5.200
4.044 2.271 5.195
0.000 0.000 0.000
4.618 2.036 2.436
1.309 4.873 2.439
1.313 1.526 5.230
-0.235 3.070 3.682
3.074 0.234 3.678
3.070 3.581 0.887
5.762 4.428 1.188
0.879 5.076 -0.359
4.884 -0.646 1.548
-1.379 0.678 4.930
3.504 0.031 6.476
-0.501 5.752 4.569
```

Output
VASP energy, Ry per atom: -0.31980
V, Å³ per atom: 17.4


A plane-wave DFT calculation with PBE-GGA was carried out for Mg2BiPd2 after structural relaxation.

Geometry as POSCAR:
```
Mg2BiPd2
1.0
-3.874 -6.595 -2.018
6.728 -4.123 0.558
-0.595 -0.566 2.991
Mg Bi Pd
4 2 4
Cartesian
4.413 -6.002 -0.258
0.893 -8.329 -1.398
-1.559 -4.716 -1.202
1.961 -2.389 -0.062
0.000 0.000 0.000
1.427 -5.359 -0.730
3.517 -4.035 1.544
2.822 -8.093 0.638
-1.258 -7.249 -0.014
-0.563 -3.191 0.892
```

Output
E above lowest polymorph, kJ/mol of formula units: 41
V, Å³ per atom: 19.4


A plane-wave DFT calculation with PBE-GGA was carried out for MgBiPd2 after structural relaxation.

Geometry as POSCAR:
```
MgBiPd2
1.0
-0.207 -0.739 -3.438
4.607 -0.487 -0.172
-0.439 -4.506 0.996
Mg Bi Pd
1 1 2
Cartesian
-0.103 -0.370 -1.719
1.980 -2.867 -1.307
-0.220 -2.253 0.498
2.303 -0.244 -0.086
```

Output
VASP energy, Ry per atom: -0.32418
V, Å³ per atom: 18.9


A plane-wave DFT calculation with PBE-GGA was carried out for MgBiPd2 after structural relaxation.

Geometry as POSCAR:
```
MgBiPd2
1.0
-1.842 -3.473 -1.654
-0.643 -1.530 3.929
-9.406 1.688 1.432
Mg Bi Pd
2 2 4
Cartesian
-1.243 -2.501 1.137
-5.646 -1.171 3.249
0.000 0.000 0.000
-6.245 -2.143 0.458
-3.564 -1.903 -0.167
-3.003 -1.005 2.589
-7.993 -0.626 1.969
-9.222 -3.095 3.023
```

Output
VASP energy, Ry per atom: -0.30215
V, Å³ per atom: 20.9


A plane-wave DFT calculation with PBE-GGA was carried out for Mg2BiPd after structural relaxation.

Geometry as POSCAR:
```
Mg2BiPd
1.0
3.013 0.000 -0.716
0.000 4.556 0.000
-0.050 -0.001 13.258
Mg Bi Pd
4 2 2
Cartesian
2.177 3.416 9.256
0.786 1.139 3.287
0.276 3.417 1.166
2.687 1.138 11.376
0.285 1.138 7.962
2.677 3.417 4.580
1.765 1.139 0.720
1.198 3.416 11.822
```

Output
E above lowest polymorph, kJ/mol of formula units: 13
V, Å³ per atom: 22.7


A plane-wave DFT calculation with PBE-GGA was carried out for Mg2BiPd9 after structural relaxation.

Geometry as POSCAR:
```
Mg2BiPd9
1.0
4.019 0.000 0.000
0.000 4.019 0.000
0.000 0.000 12.100
Mg Bi Pd
2 1 9
Cartesian
0.000 0.000 4.114
0.000 0.000 7.986
0.000 0.000 0.000
2.010 2.010 0.000
2.010 2.010 4.080
2.010 2.010 8.020
2.010 0.000 2.134
2.010 0.000 6.050
2.010 0.000 9.965
0.000 2.010 2.134
0.000 2.010 6.050
0.000 2.010 9.965
```

Output
VASP energy, Ry per atom: -0.35995
V, Å³ per atom: 16.3


A plane-wave DFT calculation with PBE-GGA was carried out for Mg5BiPd4 after structural relaxation.

Geometry as POSCAR:
```
Mg5BiPd4
1.0
-2.711 -1.182 -1.306
1.477 -2.832 -0.501
-5.208 -5.510 15.799
Mg Bi Pd
5 1 4
Cartesian
-1.370 -2.803 1.379
-2.297 -3.784 4.191
-3.221 -4.762 6.996
-4.146 -5.740 9.801
-5.073 -6.721 12.612
0.000 0.000 0.000
-1.207 -1.277 3.662
-2.144 -2.268 6.503
-3.065 -3.242 9.296
-4.001 -4.233 12.137
```

Output
VASP energy, Ry per atom: -0.28469
V, Å³ per atom: 18.3


A plane-wave DFT calculation with PBE-GGA was carried out for Mg3BiPd7 after structural relaxation.

Geometry as POSCAR:
```
Mg3BiPd7
1.0
-2.912 -0.004 -4.368
3.077 -6.059 2.152
-3.226 -0.283 6.350
Mg Bi Pd
3 1 7
Cartesian
1.663 -4.763 3.093
-1.456 -0.002 -2.184
-1.813 -1.578 5.408
-1.531 -3.173 2.067
-0.980 -1.174 0.144
-2.683 -0.528 2.393
-3.701 -2.773 3.953
0.639 -3.572 0.180
-0.075 -3.171 4.251
-0.379 -5.818 1.741
-2.082 -5.171 3.989
```

Output
VASP energy, Ry per atom: -0.32436
V, Å³ per atom: 18.1


A plane-wave DFT calculation with PBE-GGA was carried out for Mg2BiPd2 after structural relaxation.

Geometry as POSCAR:
```
Mg2BiPd2
1.0
-2.110 2.402 -2.522
2.420 -1.110 -3.081
-3.650 -4.057 -4.096
Mg Bi Pd
2 1 2
Cartesian
-2.803 -0.505 -4.710
-0.538 -2.260 -4.990
0.000 0.000 0.000
-0.673 -0.377 -3.083
-2.668 -2.388 -6.617
```

Output
E above lowest polymorph, kJ/mol of formula units: 94
V, Å³ per atom: 20.5


A plane-wave DFT calculation with PBE-GGA was carried out for Mg3BiPd after structural relaxation.

Geometry as POSCAR:
```
Mg3BiPd
1.0
5.005 0.000 0.000
0.000 5.005 0.000
0.000 0.000 5.005
Mg Bi Pd
3 1 1
Cartesian
0.000 2.502 0.000
0.000 0.000 2.502
2.502 0.000 0.000
2.502 2.502 2.502
0.000 0.000 0.000
```

Output
E above lowest polymorph, kJ/mol of formula units: 82
V, Å³ per atom: 25.1


A plane-wave DFT calculation with PBE-GGA was carried out for Mg6BiPd5 after structural relaxation.

Geometry as POSCAR:
```
Mg6BiPd5
1.0
4.402 0.018 -1.284
-0.916 5.877 -3.061
-0.058 0.346 7.992
Mg Bi Pd
6 1 5
Cartesian
3.078 3.517 2.412
3.507 0.767 3.844
1.542 4.233 -2.842
1.943 1.662 -1.503
-0.079 5.473 -0.197
0.350 2.724 1.235
0.000 0.000 0.000
2.749 1.080 1.250
1.117 2.184 3.860
-0.458 2.938 -1.530
2.310 4.056 -0.213
0.679 5.161 2.397
```

Output
VASP energy, Ry per atom: -0.28513
V, Å³ per atom: 17.6


A plane-wave DFT calculation with PBE-GGA was carried out for Mg2BiPd8 after structural relaxation.

Geometry as POSCAR:
```
Mg2BiPd8
1.0
-0.481 3.677 -2.670
3.119 -2.720 -4.308
-7.160 -3.108 0.920
Mg Bi Pd
2 1 8
Cartesian
-0.600 -2.332 -3.103
-3.923 0.181 -2.954
-0.241 1.838 -1.335
0.249 -0.964 -5.283
-3.318 -2.455 -2.782
-2.029 -0.913 -0.892
-6.796 -0.169 -2.917
-2.494 -1.238 -5.165
-1.204 0.304 -3.275
-4.772 -1.187 -0.775
2.273 -1.983 -3.140
```

Output
E above lowest polymorph, kJ/mol of formula units: 59
V, Å³ per atom: 17.1


A plane-wave DFT calculation with PBE-GGA was carried out for Mg2BiPd after structural relaxation.

Geometry as POSCAR:
```
Mg2BiPd
1.0
3.347 0.000 0.000
1.674 2.899 0.000
1.674 0.966 9.278
Mg Bi Pd
2 1 1
Cartesian
1.674 0.966 7.433
1.674 0.966 1.862
3.347 1.933 4.610
3.347 1.933 0.012
```

Output
E above lowest polymorph, kJ/mol of formula units: 58
V, Å³ per atom: 22.5


A plane-wave DFT calculation with PBE-GGA was carried out for MgRe2BiPd after structural relaxation.

Geometry as POSCAR:
```
MgRe2BiPd
1.0
-3.863 -2.814 -1.504
2.767 -4.238 0.821
-1.694 -0.193 4.712
Re Mg Bi Pd
2 1 1 1
Cartesian
-0.847 -0.097 2.356
-1.932 -1.407 -0.752
1.384 -2.119 0.411
0.000 0.000 0.000
-1.395 -3.622 2.014
```

Output
VASP energy, Ry per atom: -0.34465
V, Å³ per atom: 25.7


A plane-wave DFT calculation with PBE-GGA was carried out for MgBiPdRh after structural relaxation.

Geometry as POSCAR:
```
MgBiPdRh
1.0
-1.093 3.316 3.113
0.720 -0.746 4.562
3.393 2.313 2.242
Mg Rh Bi Pd
1 1 1 1
Cartesian
2.265 3.662 7.437
1.510 2.441 4.958
0.755 1.221 2.479
0.000 0.000 0.000
```

Output
VASP energy, Ry per atom: -0.35668
V, Å³ per atom: 18.1


A plane-wave DFT calculation with PBE-GGA was carried out for MgBi2Sb2Pd7 after structural relaxation.

Geometry as POSCAR:
```
MgBi2Sb2Pd7
1.0
-2.321 -0.636 3.285
-1.245 -3.555 -1.546
10.158 -8.118 7.168
Mg Bi Sb Pd
1 2 2 7
Cartesian
0.000 0.000 0.000
0.897 -6.851 4.339
5.695 -5.459 4.567
5.600 -8.533 6.403
0.992 -3.776 2.503
-1.783 -2.096 0.869
3.106 -4.957 3.687
3.486 -7.352 5.219
-1.452 -3.313 3.389
-0.914 -4.774 0.971
7.506 -7.536 7.935
8.044 -8.997 5.517
```

Output
Formation energy (no corrections), eV per atom: -0.36
V, Å³ per atom: 20.4


A plane-wave DFT calculation with PBE-GGA was carried out for Mg2SnBiPd4 after structural relaxation.

Geometry as POSCAR:
```
Mg2SnBiPd4
1.0
-1.334 2.975 -3.305
-4.512 0.884 -0.645
-1.533 7.109 3.758
Mg Sn Bi Pd
2 1 1 4
Cartesian
-5.535 8.208 -0.159
-1.843 2.760 -0.032
-3.689 5.484 -0.095
0.000 0.000 0.000
-3.541 7.561 1.715
-5.683 6.124 -1.975
-1.695 4.844 1.784
-3.837 3.407 -1.906
```

Output
VASP energy, Ry per atom: -0.33477
V, Å³ per atom: 18.0